The following is a DFT calculation (PBEsol) of crystalline KMo2Br at its relaxed geometry.

Computed properties:
The total energy comes out at -24.99 eV for the cell shown. Its crystal system is tetragonal. For the energy relative to the lowest polymorph listed for this composition, the calculation gives 0.000 eV per atom. The value obtained for the formation energy without anion corrections is 388 meV/atom.

```
4
Lattice="3.2270 0.0000 0.0000 0.0000 3.2270 0.0000 0.0000 0.0000 8.5034" Properties=species:S:1:pos:R:3 pbc="T T T"
K 0.0000 0.0000 0.0000
Mo 0.0000 0.0000 4.0607
Mo 1.6135 1.6135 2.9172
Br 1.6135 1.6135 6.2813
```

The following is a DFT calculation (PBEsol) of crystalline AlSiRu2 at its relaxed geometry.

Computed properties:
The total energy comes out at -30.88 eV for the cell shown. Its crystal system is trigonal. For the energy relative to the lowest polymorph listed for this composition, the calculation gives 0.563 eV per atom. The value obtained for the formation energy without anion corrections is -175 meV/atom.

```
4
Lattice="1.3945 0.8051 8.0830 -1.3945 0.8051 8.0830 0.0000 -1.6102 8.0830" Properties=species:S:1:pos:R:3 pbc="T T T"
Al 0.0000 0.0000 0.0000
Si 0.0000 0.0000 5.9203
Ru 0.0000 0.0000 12.1761
Ru 0.0000 0.0000 18.1443
```

The following is a DFT calculation (PBEsol) of crystalline Hf2ScBi at its relaxed geometry.

Computed properties:
The calculation puts the calculated formation energy at 0.352 eV per atom. The total energy comes out at -60.98 eV for the cell shown. Its crystal system is tetragonal.

```
8
Lattice="-4.0884 4.0884 2.9145 4.0884 -4.0884 2.9145 4.0884 4.0884 -2.9145" Properties=species:S:1:pos:R:3 pbc="T T T"
Hf 6.1326 1.9178 -0.7286
Hf 1.9178 2.0442 0.7286
Hf -2.0442 2.1706 2.1859
Hf 2.1706 2.0442 3.6431
Sc 4.0884 0.0000 1.4572
Sc 0.0000 0.0000 2.9145
Bi 0.0000 0.0000 0.0000
Bi 0.0000 4.0884 1.4572
```

The following is a DFT calculation (PBEsol) of crystalline K2Mg2Pb at its relaxed geometry.

Computed properties:
The calculation puts the calculated formation energy at 0.200 eV per atom. The total energy comes out at -8.70 eV for the cell shown. Its crystal system is tetragonal.

```
5
Lattice="-2.0178 2.0178 11.7073 2.0178 -2.0178 11.7073 2.0178 2.0178 -11.7073" Properties=species:S:1:pos:R:3 pbc="T T T"
K 0.0000 0.0000 2.4060
K 0.0000 0.0000 21.0086
Mg 2.0178 0.0000 5.8536
Mg 0.0000 2.0178 5.8536
Pb 0.0000 0.0000 11.7073
```

The following is a DFT calculation (PBEsol) of crystalline RbP15 at its relaxed geometry.

Computed properties:
The calculation puts the calculated formation energy at -0.072 eV per atom. The total energy comes out at -178.10 eV for the cell shown. Its crystal system is triclinic.

```
32
Lattice="7.0971 0.0000 0.0000 -2.7566 8.6544 0.0000 -2.1994 -0.7454 11.9399" Properties=species:S:1:pos:R:3 pbc="T T T"
Rb 0.9576 1.8406 0.0242
Rb 1.1836 6.0684 11.9158
P -1.8174 2.6922 5.0497
P -2.7843 3.0723 9.5883
P -3.6707 7.2504 7.6128
P -2.0904 6.4557 3.8390
P -3.4583 7.1504 9.7532
P -1.6322 4.4868 8.3838
P -0.0498 4.1612 2.3786
P -0.8608 7.5202 2.3522
P 0.0618 3.7099 4.5528
P -1.7304 8.0609 6.8828
P -0.5369 5.6860 5.3307
P -1.5393 6.1927 9.8040
P 0.7412 1.5211 7.3962
P 2.3770 0.6227 3.5729
P 0.9606 6.2261 2.3726
P 1.1805 1.6829 9.5673
P -0.2359 7.2863 8.3671
P 1.4000 6.3880 4.5437
P 3.6804 1.7163 2.1359
P 2.6780 2.2230 6.6092
P 3.8715 -0.1518 5.0572
P 2.0794 4.1991 7.3872
P 3.0019 0.3888 9.5878
P 2.1909 3.7478 9.5614
P 3.7734 3.4222 3.5561
P 5.5995 0.7586 2.1867
P 4.2316 1.4533 8.1010
P 5.8118 0.6587 4.3272
P 4.9255 4.8367 2.3516
P 3.9586 5.2168 6.8902
```

The following is a DFT calculation (PBEsol) of crystalline Rb2SeI at its relaxed geometry.

Computed properties:
The total energy comes out at -11.32 eV for the cell shown. Its crystal system is cubic. The value obtained for the formation energy without anion corrections is -912 meV/atom.

```
4
Lattice="0.0000 4.2035 4.2035 4.2035 0.0000 4.2035 4.2035 4.2035 0.0000" Properties=species:S:1:pos:R:3 pbc="T T T"
Rb 2.1017 2.1017 2.1017
Rb 6.3052 6.3052 6.3052
Se 0.0000 0.0000 0.0000
I 4.2035 4.2035 4.2035
```

The following is a DFT calculation (PBEsol) of crystalline Zr2PSe at its relaxed geometry.

Computed properties:
The total energy comes out at -32.96 eV for the cell shown. Its crystal system is tetragonal. For the energy relative to the lowest polymorph listed for this composition, the calculation gives 0.116 eV per atom. The value obtained for the formation energy without anion corrections is -1284 meV/atom.

```
4
Lattice="3.6481 0.0000 0.0000 0.0000 3.6481 0.0000 0.0000 0.0000 5.6370" Properties=species:S:1:pos:R:3 pbc="T T T"
Zr 0.0000 0.0000 0.0000
Zr 1.8241 1.8241 2.0871
P 0.0000 0.0000 2.6841
Se 1.8241 1.8241 4.9200
```

The following is a DFT calculation (PBEsol) of crystalline KFeBr3 at its relaxed geometry.

Computed properties:
The total energy comes out at -80.59 eV for the cell shown. Its crystal system is orthorhombic. The value obtained for the formation energy without anion corrections is -888 meV/atom.

```
20
Lattice="9.0432 0.0000 0.0000 0.0000 3.8742 0.0000 0.0000 0.0000 14.9364" Properties=species:S:1:pos:R:3 pbc="T T T"
K 0.5609 0.9685 2.5539
K 3.9607 2.9056 10.0221
K 5.0825 0.9685 4.9143
K 8.4823 2.9056 12.3825
Fe 1.3636 2.9056 6.6669
Fe 3.1580 0.9685 14.1351
Fe 5.8852 2.9056 0.8014
Fe 7.6796 0.9685 8.2696
Br 0.2528 2.9056 8.9882
Br 1.6037 2.9056 0.0283
Br 2.0610 0.9685 11.8713
Br 2.4606 2.9056 4.4030
Br 2.9179 0.9685 7.4965
Br 4.2688 0.9685 1.5200
Br 4.7744 2.9056 13.4164
Br 6.1253 2.9056 7.4399
Br 6.5826 0.9685 10.5334
Br 6.9822 2.9056 3.0652
Br 7.4395 0.9685 14.9082
Br 8.7904 0.9685 5.9482
```

The following is a DFT calculation (PBEsol) of crystalline KSiCl4 at its relaxed geometry.

Computed properties:
The total energy comes out at -14.14 eV for the cell shown. Its crystal system is cubic. The value obtained for the formation energy without anion corrections is 129 meV/atom.

```
6
Lattice="0.0000 4.1646 4.1646 4.1646 0.0000 4.1646 4.1646 4.1646 0.0000" Properties=species:S:1:pos:R:3 pbc="T T T"
K 0.0000 0.0000 0.0000
Si 2.0823 2.0823 2.0823
Cl 5.2068 3.1224 3.1224
Cl 3.1224 5.2068 3.1224
Cl 3.1224 3.1224 5.2068
Cl 5.2068 5.2068 5.2068
```

The following is a DFT calculation (PBEsol) of crystalline FeCuOs2 at its relaxed geometry.

Computed properties:
The calculation puts the calculated formation energy at 0.232 eV per atom. The total energy comes out at -36.80 eV for the cell shown. Its crystal system is orthorhombic. For the energy relative to the lowest polymorph listed for this composition, the calculation gives 0.000 eV per atom.

```
4
Lattice="2.6743 0.0000 0.0000 0.0000 3.7315 0.0000 0.0000 0.0000 5.1303" Properties=species:S:1:pos:R:3 pbc="T T T"
Fe 0.0000 0.0000 0.0000
Cu 1.3371 1.8658 3.9657
Os 0.0000 0.0000 2.5995
Os 1.3371 1.8658 1.3744
```

The following is a DFT calculation (PBEsol) of crystalline Li3Co3P4O16 at its relaxed geometry.

Computed properties:
The total energy comes out at -183.98 eV for the cell shown. Its crystal system is triclinic. The value obtained for the formation energy without anion corrections is -1835 meV/atom.

```
26
Lattice="4.9746 0.0000 0.0000 0.6404 7.3204 0.0000 0.0731 0.0086 7.7344" Properties=species:S:1:pos:R:3 pbc="T T T"
Li 0.0000 0.0000 0.0000
Li 1.4947 5.8020 5.6540
Li 3.7489 2.1465 3.8828
Co 1.0780 6.5926 2.8593
Co 2.6564 3.6388 1.7827
Co 3.2335 2.8223 6.5576
P 0.5627 4.3876 0.5008
P 0.8714 1.3915 5.1620
P 2.8199 0.6347 1.3456
P 3.6338 5.1913 4.2636
O 0.6143 5.4971 7.2519
O 0.3599 0.9681 3.7266
O 1.1690 4.8112 1.9396
O 0.9232 0.2720 6.1470
O 1.6589 3.2805 0.2104
O 2.0527 7.3125 1.3679
O 2.6239 6.2788 3.8464
O 2.2727 2.0761 5.0895
O 2.8090 1.8686 2.2979
O 3.2000 4.6689 5.6511
O 3.3224 1.0988 7.6709
O 3.6628 4.0052 3.2591
O 4.1579 3.6910 0.5873
O 4.4935 6.9133 1.8358
O 5.0592 5.8002 4.2965
O 4.8584 2.5246 5.5479
```

The following is a DFT calculation (PBEsol) of crystalline Cd2SiCl at its relaxed geometry.

Computed properties:
The total energy comes out at -10.04 eV for the cell shown. Its crystal system is tetragonal. The value obtained for the formation energy without anion corrections is 28 meV/atom.

```
4
Lattice="5.0759 0.0000 0.0000 0.0000 5.0759 0.0000 0.0000 0.0000 3.0897" Properties=species:S:1:pos:R:3 pbc="T T T"
Cd 0.0000 2.5379 0.0000
Cd 2.5379 0.0000 0.0000
Si 0.0000 0.0000 1.5449
Cl 2.5379 2.5379 1.5449
```